NaTmOs (PBE, optimized geometry); excess energy over the best structure of this formula in the dataset = 0.0 meV per atom; total DFT energy (no corrections) = -4.895 eV/atom; magnetization = 0.01 μB per formula unit
1.0
-3.122 2.272 2.606
-3.766 1.886 -1.991
-4.206 -1.859 0.745
Os Tm Na
1 1 1
direct
0.000 0.000 0.000 Os
0.750 0.750 0.750 Tm
0.250 0.250 0.250 Na

***

Fe3Si2Ge2 (PBE, optimized geometry); total DFT energy (no corrections) = -6.585 eV/atom; magnetization = 0.29 μB per formula unit
1.0
1.990 1.149 6.355
-1.990 1.149 6.355
0.000 -2.298 6.355
Fe Si Ge
3 2 2
direct
0.122 0.122 0.122 Fe
0.376 0.376 0.376 Fe
0.629 0.629 0.629 Fe
0.246 0.246 0.246 Si
0.755 0.755 0.755 Si
0.505 0.505 0.505 Ge
0.992 0.992 0.992 Ge

***

K3RbP2Pd2 (PBE, optimized geometry); total DFT energy (no corrections) = -3.554 eV/atom
1.0
6.265 0.000 0.000
0.000 5.859 0.000
-1.673 0.000 6.087
P Pd K Rb
2 2 3 1
direct
0.242 0.000 0.239 P
0.770 0.500 0.751 P
0.992 0.747 0.011 Pd
0.992 0.253 0.011 Pd
0.525 0.500 0.177 K
0.822 0.000 0.479 K
0.182 0.500 0.515 K
0.474 0.000 0.816 Rb

***

Ag2HgWSe4 (PBE, optimized geometry); total DFT energy (no corrections) = -4.201 eV/atom; magnetization = 0.01 μB per formula unit
1.0
9.211 0.000 0.000
0.000 7.176 0.000
0.000 0.000 7.088
Se Ag W Hg
8 4 2 2
direct
0.211 0.657 0.145 Se
0.500 0.890 0.580 Se
0.289 0.343 0.645 Se
0.500 0.259 0.185 Se
0.789 0.657 0.145 Se
0.000 0.741 0.685 Se
0.000 0.110 0.080 Se
0.711 0.343 0.645 Se
0.741 0.698 0.516 Ag
0.759 0.302 0.016 Ag
0.259 0.698 0.516 Ag
0.241 0.302 0.016 Ag
0.500 0.215 0.514 W
0.000 0.785 0.014 W
0.000 0.152 0.534 Hg
0.500 0.848 0.034 Hg

***

InCuHgOs (PBE, optimized geometry); excess energy over the best structure of this formula in the dataset = 0.0 meV per atom; total DFT energy (no corrections) = -3.941 eV/atom; magnetization = 0.00 μB per formula unit
1.0
0.555 -3.801 2.525
-3.475 -2.971 0.476
0.194 -4.111 -2.047
Cu Os Hg In
1 1 1 1
direct
0.750 0.750 0.750 Cu
0.250 0.250 0.250 Os
0.500 0.500 0.500 Hg
0.000 0.000 0.000 In

***

CuH28C10N6Cl4 (PBE, optimized geometry); total DFT energy (no corrections) = -5.294 eV/atom
1.0
-2.721 6.210 7.630
-7.252 7.117 0.971
-3.422 -14.254 0.388
H N C Cl Cu
56 12 20 8 2
direct
0.365 0.198 0.374 H
0.502 0.210 0.340 H
0.840 0.755 0.526 H
0.964 0.702 0.300 H
0.197 0.553 0.369 H
0.210 0.502 0.840 H
0.073 0.834 0.967 H
0.198 0.365 0.874 H
0.503 0.615 0.223 H
0.934 0.181 0.919 H
0.947 0.529 0.711 H
0.615 0.503 0.723 H
0.705 0.163 0.743 H
0.498 0.790 0.660 H
0.447 0.803 0.131 H
0.036 0.298 0.700 H
0.604 0.791 0.910 H
0.471 0.053 0.789 H
0.146 0.053 0.012 H
0.802 0.635 0.126 H
0.834 0.073 0.467 H
0.166 0.927 0.533 H
0.298 0.036 0.200 H
0.704 0.511 0.023 H
0.723 0.489 0.862 H
0.511 0.704 0.523 H
0.163 0.705 0.243 H
0.053 0.146 0.512 H
0.160 0.245 0.474 H
0.854 0.947 0.988 H
0.295 0.837 0.257 H
0.790 0.498 0.160 H
0.755 0.840 0.026 H
0.489 0.723 0.362 H
0.947 0.854 0.488 H
0.927 0.166 0.033 H
0.277 0.511 0.138 H
0.209 0.396 0.590 H
0.635 0.802 0.626 H
0.803 0.447 0.631 H
0.181 0.934 0.419 H
0.837 0.295 0.757 H
0.702 0.964 0.800 H
0.791 0.604 0.410 H
0.529 0.947 0.211 H
0.553 0.197 0.869 H
0.066 0.819 0.081 H
0.511 0.277 0.638 H
0.245 0.160 0.974 H
0.053 0.471 0.289 H
0.396 0.209 0.090 H
0.489 0.296 0.477 H
0.385 0.497 0.277 H
0.296 0.489 0.977 H
0.497 0.385 0.777 H
0.819 0.066 0.581 H
0.993 0.345 0.076 N
0.849 0.515 0.800 N
0.733 0.766 0.946 N
0.655 0.007 0.424 N
0.151 0.485 0.200 N
0.485 0.151 0.700 N
0.345 0.993 0.576 N
0.515 0.849 0.300 N
0.234 0.267 0.554 N
0.007 0.655 0.924 N
0.267 0.234 0.054 N
0.766 0.733 0.446 N
0.914 0.443 0.706 C
0.493 0.187 0.401 C
0.137 0.355 0.110 C
0.448 0.749 0.285 C
0.002 0.177 0.006 C
0.813 0.507 0.099 C
0.749 0.448 0.785 C
0.187 0.493 0.901 C
0.645 0.863 0.390 C
0.177 0.002 0.506 C
0.823 0.998 0.494 C
0.552 0.251 0.715 C
0.443 0.914 0.206 C
0.998 0.823 0.994 C
0.086 0.557 0.294 C
0.863 0.645 0.890 C
0.557 0.086 0.794 C
0.355 0.137 0.610 C
0.251 0.552 0.215 C
0.507 0.813 0.599 C
0.008 0.250 0.295 Cl
0.750 0.992 0.205 Cl
0.718 0.373 0.415 Cl
0.992 0.750 0.705 Cl
0.250 0.008 0.795 Cl
0.282 0.627 0.585 Cl
0.627 0.282 0.085 Cl
0.373 0.718 0.915 Cl
0.779 0.221 0.250 Cu
0.221 0.779 0.750 Cu

***

SrHfHg2 (PBE, optimized geometry); total DFT energy (no corrections) = -2.648 eV/atom; magnetization = 1.28 μB per formula unit
1.0
1.733 -4.942 0.318
-3.309 -3.862 1.286
-1.447 -3.524 -3.607
Sr Hf Hg
1 1 2
direct
0.750 0.750 0.750 Sr
0.500 0.500 0.500 Hf
0.000 0.000 0.000 Hg
0.250 0.250 0.250 Hg

***

PrPa (PBE, optimized geometry); excess energy over the best structure of this formula in the dataset = 1626.5 meV per atom; total DFT energy (no corrections) = -5.210 eV/atom; magnetization = 1.27 μB per formula unit
1.0
0.000 3.243 3.243
3.243 0.000 3.243
3.243 3.243 0.000
Pr Pa
1 1
direct
0.250 0.250 0.250 Pr
0.000 0.000 0.000 Pa